The following is a DFT calculation (SCAN) of ZnAgSe2 at its PBEsol-relaxed geometry.

Structure (POSCAR):
```
ZnAgSe2
1.0
-3.620 -1.010 1.849
0.694 -3.105 -3.447
3.409 -0.832 3.113
Se Zn Ag
2 1 1
Direct
0.000 0.000 0.500
0.000 0.500 0.000
0.500 0.000 0.000
0.500 0.500 0.500
```

Raw formation energy: -30 meV/atom
Symmetry: C2/m